1.
DFT (GGA-PBE) results for a relaxed K4CdHg12 crystal.

Its formation energy is -19 kJ per mole of atoms. The crystal system is cubic.

The structure belongs to space group Im-3m (No. 229); the cell edges are 10.163, 10.163 and 10.163 Å and the angles 90.00°, 90.00° and 90.00°. Symmetry generates all atoms from K at (0.250, 0.250, 0.250), Cd at (0.000, 0.000, 0.000), Hg at (0.000, 0.000, 0.299) and Hg at (0.000, 0.250, 0.500).

2.
DFT (GGA-PBE) results for a relaxed LiAc2Tl3Ag4 crystal.

Its formation energy is -17 kJ per mole of atoms. The crystal system is tetragonal.

The structure belongs to space group P-4m2 (No. 115); the cell edges are 4.589, 4.589 and 12.504 Å and the angles 90.00°, 90.00° and 90.00°. Symmetry generates all atoms from Li at (0.000, 0.000, 0.000), Ac at (0.000, 0.500, 0.750), Tl at (0.000, 0.500, 0.363), Tl at (0.500, 0.500, 0.000), Ag at (0.000, 0.000, 0.500), Ag at (0.000, 0.500, 0.136) and Ag at (0.500, 0.500, 0.500).

3.
DFT (GGA-PBE) results for a relaxed LaZn2Pd2Au crystal.

Its formation energy is -27 kJ per mole of atoms. The crystal system is tetragonal.

The structure belongs to space group P4/mmm (No. 123); the cell edges are 4.785, 4.785 and 5.694 Å and the angles 90.00°, 90.00° and 90.00°. Symmetry generates all atoms from La at (0.000, 0.000, 0.000), Zn at (0.000, 0.500, 0.500), Pd at (0.500, 0.500, 0.247) and Au at (0.000, 0.000, 0.500).

4.
DFT (GGA-PBE) results for a relaxed La2MgCoI crystal.

The calculation puts the uncorrected formation energy at -0.415 eV per atom. The crystal system is tetragonal.

The structure belongs to space group P4/mmm (No. 123); the cell edges are 5.315, 5.315 and 5.092 Å and the angles 90.00°, 90.00° and 90.00°. Symmetry generates all atoms from La at (0.000, 0.500, 0.000), Mg at (0.000, 0.000, 0.500), Co at (0.000, 0.000, 0.000) and I at (0.500, 0.500, 0.500).

5.
DFT (GGA-PBE) results for a relaxed CdGe2BiO6 crystal.

The calculation puts the uncorrected formation energy at -1.337 eV per atom. The crystal system is monoclinic.

The structure belongs to space group C2/c (No. 15); the cell edges are 10.664, 9.545 and 5.921 Å and the angles 90.00°, 105.04° and 90.00°. Symmetry generates all atoms from Cd at (0.000, 0.095, 0.250), Ge at (0.212, 0.409, 0.261), Bi at (0.000, 0.298, 0.750), O at (0.112, 0.107, 0.655), O at (0.131, 0.254, 0.133) and O at (0.157, 0.457, 0.526).

6.
DFT (GGA-PBE) results for a relaxed Pm9Nd11Th4 crystal.

Its formation energy is 11 kJ per mole of atoms. The crystal system is orthorhombic.

The structure belongs to space group Cmmm (No. 65); the cell edges are 17.345, 26.168 and 3.724 Å and the angles 90.00°, 90.00° and 90.00°. Symmetry generates all atoms from Pm at (0.000, 0.000, 0.000), Pm at (0.101, 0.235, 0.000), Pm at (0.139, 0.427, 0.000), Nd at (0.000, 0.131, 0.500), Nd at (0.000, 0.342, 0.500), Nd at (0.000, 0.500, 0.500), Nd at (0.206, 0.000, 0.500), Nd at (0.226, 0.318, 0.500) and Th at (0.158, 0.103, 0.000).

7.
DFT (GGA-PBE) results for a relaxed AlAg3 crystal.

Its formation energy is -4 kJ per mole of atoms. The crystal system is monoclinic.

The structure belongs to space group C2/c (No. 15); the cell edges are 10.249, 5.669 and 5.201 Å and the angles 90.00°, 113.68° and 90.00°. Symmetry generates all atoms from Al at (0.000, 0.137, 0.250), Ag at (0.000, 0.368, 0.750) and Ag at (0.241, 0.116, 0.730).

8.
DFT (GGA-PBE) results for a relaxed CsRh2Se4 crystal.

The calculation puts the uncorrected formation energy at -0.350 eV per atom. The crystal system is tetragonal.

The structure belongs to space group I4_1/amd (No. 141, origin choice 2); the cell edges are 8.725, 8.725 and 9.472 Å and the angles 90.00°, 90.00° and 90.00°. Symmetry generates all atoms from Cs at (0.000, 0.250, 0.375), Rh at (0.000, 0.000, 0.000) and Se at (0.000, 0.085, 0.745).

9.
DFT (GGA-PBE) results for a relaxed TlBrN2F crystal.

The calculation puts the uncorrected formation energy at 1.214 eV per atom. The offset from the most stable computed form comes out at 0.0 meV/atom. The crystal system is tetragonal.

The structure belongs to space group P4/mmm (No. 123); the cell edges are 3.913, 3.913 and 5.890 Å and the angles 90.00°, 90.00° and 90.00°. Symmetry generates all atoms from Tl at (0.000, 0.000, 0.000), Br at (0.500, 0.500, 0.500), N at (0.000, 0.500, 0.500) and F at (0.500, 0.500, 0.000).

10.
DFT (GGA-PBE) results for a relaxed SrLa2Ni2 crystal.

Its formation energy is 1 kJ per mole of atoms. The offset from the most stable computed form comes out at 144.3 meV/atom. The crystal system is tetragonal.

The structure belongs to space group I4/mmm (No. 139); the cell edges are 5.188, 5.188 and 11.261 Å and the angles 90.00°, 90.00° and 90.00°. Symmetry generates all atoms from Sr at (0.000, 0.000, 0.000), La at (0.000, 0.000, 0.330) and Ni at (0.000, 0.500, 0.250).

11.
DFT (GGA-PBE) results for a relaxed Nb2CdCoPd crystal.

Its formation energy is 194 kJ per mole of atoms. The crystal system is tetragonal.

The structure belongs to space group P4/mmm (No. 123); the cell edges are 4.996, 4.996 and 4.777 Å and the angles 90.00°, 90.00° and 90.00°. Symmetry generates all atoms from Nb at (0.000, 0.500, 0.000), Cd at (0.000, 0.000, 0.000), Co at (0.500, 0.500, 0.500) and Pd at (0.000, 0.000, 0.500).

12.
DFT (GGA-PBE) results for a relaxed Ho2TeN crystal.

The calculation puts the uncorrected formation energy at -1.379 eV per atom. The offset from the most stable computed form comes out at 0.0 meV/atom. The crystal system is trigonal.

The structure belongs to space group R-3m (No. 166, hexagonal axes); the cell edges are 3.7312, 3.7312 and 20.6261 Å and the angles 90.00°, 90.00° and 120.00°. Symmetry generates all atoms from Ho at (0.0000, 0.0000, 0.2277), Te at (0.0000, 0.0000, 0.0000) and N at (0.0000, 0.0000, 0.5000).

13.
DFT (GGA-PBE) results for a relaxed Cs3YAg2I8 crystal.

The calculation puts the uncorrected formation energy at -1.101 eV per atom. The crystal system is trigonal.

The structure belongs to space group P-3m1 (No. 164); the cell edges are 8.5687, 8.5687 and 11.0491 Å and the angles 90.00°, 90.00° and 120.00°. Symmetry generates all atoms from Cs at (0.0000, 0.0000, 0.0000), Cs at (0.3333, 0.6667, 0.6232), Y at (0.0000, 0.0000, 0.5000), Ag at (0.3333, 0.6667, 0.1989), I at (0.1630, 0.3259, 0.3345) and I at (0.3333, 0.6667, 0.9559).

14.
DFT (GGA-PBE) results for a relaxed RbIn2NiBi crystal.

Its formation energy is -1 kJ per mole of atoms. The crystal system is tetragonal.

The structure belongs to space group P4/mmm (No. 123); the cell edges are 5.129, 5.129 and 5.534 Å and the angles 90.00°, 90.00° and 90.00°. Symmetry generates all atoms from Rb at (0.000, 0.000, 0.000), In at (0.000, 0.500, 0.500), Ni at (0.500, 0.500, 0.500) and Bi at (0.500, 0.500, 0.000).

15.
DFT (GGA-PBE) results for a relaxed NaNd2Se crystal.

The calculation puts the uncorrected formation energy at -0.622 eV per atom. The crystal system is trigonal.

The structure belongs to space group R-3m (No. 166, hexagonal axes); the cell edges are 3.9631, 3.9631 and 32.5690 Å and the angles 90.00°, 90.00° and 120.00°. Symmetry generates all atoms from Na at (0.0000, 0.0000, 0.0000), Nd at (0.0000, 0.0000, 0.1122) and Se at (0.0000, 0.0000, 0.5000).

16.
DFT (GGA-PBE) results for a relaxed AcEu3 crystal.

Its formation energy is 4 kJ per mole of atoms. The crystal system is cubic.

The structure belongs to space group Pm-3m (No. 221); the cell edges are 5.567, 5.567 and 5.567 Å and the angles 90.00°, 90.00° and 90.00°. Symmetry generates all atoms from Ac at (0.000, 0.000, 0.000) and Eu at (0.000, 0.500, 0.500).

17.
DFT (GGA-PBE) results for a relaxed Ac3P2Se crystal.

The calculation puts the uncorrected formation energy at -1.204 eV per atom. The offset from the most stable computed form comes out at 469.5 meV/atom. The crystal system is orthorhombic.

The structure belongs to space group Cmcm (No. 63); the cell edges are 4.655, 14.719 and 11.727 Å and the angles 90.00°, 90.00° and 90.00°. Symmetry generates all atoms from Ac at (0.000, 0.100, 0.250), Ac at (0.000, 0.373, 0.066), P at (0.000, 0.000, 0.000), P at (0.000, 0.492, 0.250) and Se at (0.000, 0.239, 0.750).

18.
DFT (GGA-PBE) results for a relaxed Th2PaCo6 crystal.

Its formation energy is 3 kJ per mole of atoms. The crystal system is orthorhombic.

The structure belongs to space group Immm (No. 71); the cell edges are 3.426, 6.674 and 13.661 Å and the angles 90.00°, 90.00° and 90.00°. Symmetry generates all atoms from Th at (0.000, 0.000, 0.138), Pa at (0.000, 0.500, 0.000), Co at (0.000, 0.176, 0.321) and Co at (0.000, 0.278, 0.500).

19.
DFT (GGA-PBE) results for a relaxed CeAlAgHg crystal.

Its formation energy is -23 kJ per mole of atoms. The crystal system is cubic.

The structure belongs to space group F-43m (No. 216); the cell edges are 7.099, 7.099 and 7.099 Å and the angles 90.00°, 90.00° and 90.00°. Symmetry generates all atoms from Ce at (0.000, 0.000, 0.000), Al at (0.000, 0.000, 0.500), Ag at (0.250, 0.250, 0.250) and Hg at (0.250, 0.250, 0.750).

20.
DFT (GGA-PBE) results for a relaxed BiTeIO4 crystal.

The calculation puts the uncorrected formation energy at -0.800 eV per atom. The crystal system is monoclinic.

The structure belongs to space group C2/m (No. 12); the cell edges are 11.967, 7.646 and 8.137 Å and the angles 90.00°, 121.59° and 90.00°. Symmetry generates all atoms from Bi at (0.230, 0.000, 0.243), Te at (0.126, 0.500, 0.211), I at (0.010, 0.000, 0.752), O at (0.065, 0.500, 0.919), O at (0.130, 0.500, 0.448) and O at (0.226, 0.303, 0.244).

21.
DFT (GGA-PBE) results for a relaxed CsCaYI6 crystal.

The calculation puts the uncorrected formation energy at -1.526 eV per atom. The crystal system is trigonal.

The structure belongs to space group P-31c (No. 163); the cell edges are 8.0370, 8.0370 and 17.2337 Å and the angles 90.00°, 90.00° and 120.00°. Symmetry generates all atoms from Cs at (0.0000, 0.0000, 0.0000), Ca at (0.3333, 0.6667, 0.2500), Y at (0.3333, 0.6667, 0.7500) and I at (0.0095, 0.3788, 0.6458).

22.
DFT (GGA-PBE) results for a relaxed Cd2TePb crystal.

The calculation puts the uncorrected formation energy at 0.077 eV per atom. The offset from the most stable computed form comes out at 146.6 meV/atom. The crystal system is orthorhombic.

The structure belongs to space group Cmm2 (No. 35); the cell edges are 3.934, 5.477 and 10.272 Å and the angles 90.00°, 90.00° and 90.00°. Symmetry generates all atoms from Cd at (0.000, 0.000, 0.000), Cd at (0.000, 0.500, 0.222), Te at (0.000, 0.500, 0.761) and Pb at (0.000, 0.000, 0.480).

23.
DFT (GGA-PBE) results for a relaxed K2PmErS4 crystal.

The calculation puts the uncorrected formation energy at -1.872 eV per atom. The crystal system is monoclinic.

The structure belongs to space group P2/m (No. 10); the cell edges are 7.089, 4.092 and 7.747 Å and the angles 90.00°, 107.73° and 90.00°. Symmetry generates all atoms from K at (0.000, 0.000, 0.000), K at (0.500, 0.500, 0.000), Pm at (0.000, 0.500, 0.500), Er at (0.500, 0.000, 0.500), S at (0.243, 0.000, 0.705) and S at (0.274, 0.500, 0.299).

Q: Which final energy values were calculated for the entries above? A: -0.717 -3.041 -3.801 -4.436 -5.715 -5.094 -3.112 -4.563 -3.298 -4.606 -4.658 -6.535 -3.039 -3.232 -4.206 -8.687 -5.642 -7.414 -3.446 -4.858 -3.595 -2.094 -5.374, in eV per atom.